No. 1
The following is a PBE calculation of a geometry-optimized Pu3Np2PaN6 structure, from the Alexandria database.

Lattice parameters (Å, degrees): 6.008 6.008 6.010 99.64 99.64 119.85
Each line ends with the local moment (μB).
Atoms (fractional coordinates):
Pu  0.167  0.833  0.500  4.64
Pu  0.833  0.167  0.500  4.64
Pu  0.500  0.500  0.500  -4.62
Np  0.334  0.666  0.000  -2.73
Np  0.666  0.334  0.000  -2.73
Pa  0.000  0.000  0.000  0.01
N  0.921  0.585  0.763  0.03
N  0.744  0.744  0.238  0.03
N  0.079  0.415  0.237  0.03
N  0.585  0.921  0.763  0.03
N  0.256  0.256  0.762  0.03
N  0.415  0.079  0.237  0.03

Values from the calculation:
Formation energy from raw total energies, eV/atom: -1.246
Crystal system: monoclinic
Spin magnetization, μB/f.u.: 0.7


No. 2
The following is a PBE calculation of a geometry-optimized RbBa2GaNi structure, from the Alexandria database.

Lattice parameters (Å, degrees): 6.218 6.218 4.886 90.00 90.00 90.00
Atoms (fractional coordinates):
Ni  0.000  0.000  0.000
Ga  0.000  0.000  0.500
Ba  0.000  0.500  0.000
Ba  0.500  0.000  0.000
Rb  0.500  0.500  0.500

Values from the calculation:
E_form, eV/atom: 0.024
Crystal system: tetragonal
Spin magnetization, μB/f.u.: 0.0


No. 3
The following is a PBE calculation of a geometry-optimized TaBSe2 structure, from the Alexandria database.

Lattice parameters (Å, degrees): 5.595 5.595 6.112 62.76 62.76 90.00
Atoms (fractional coordinates):
B  0.500  0.500  0.000
B  0.250  0.750  0.500
Se  0.556  0.125  0.250
Se  0.194  0.625  0.250
Se  0.375  0.444  0.750
Se  0.875  0.806  0.750
Ta  0.000  0.000  0.000
Ta  0.750  0.250  0.500

Values from the calculation:
Formation energy from raw total energies, eV/atom: 0.481
Crystal system: tetragonal
Spin magnetization, μB/f.u.: 0.0


No. 4
The following is a PBE calculation of a geometry-optimized Sr2ScNbW structure, from the Alexandria database.

Lattice parameters (Å, degrees): 5.963 4.666 5.963 90.00 90.00 90.00
Each line ends with the local moment (μB).
Atoms (fractional coordinates):
Sc  0.000  0.000  0.000  -0.04
Sr  0.000  0.000  0.500  0.03
Sr  0.500  0.000  0.000  0.04
Nb  0.500  0.500  0.500  2.65
W  0.000  0.500  0.000  0.86

Values from the calculation:
E_form, eV/atom: 1.842
Crystal system: tetragonal
Spin magnetization, μB/f.u.: 4.9


No. 5
The following is a PBE calculation of a geometry-optimized SrAl3CuPt structure, from the Alexandria database.

Lattice parameters (Å, degrees): 6.444 6.567 7.039 117.81 90.00 90.00
Atoms (fractional coordinates):
Sr  0.750  0.240  0.479
Sr  0.250  0.760  0.521
Al  0.250  0.211  0.423
Al  0.000  0.291  0.000
Al  0.500  0.709  0.000
Al  0.500  0.291  0.000
Al  0.000  0.709  0.000
Al  0.750  0.789  0.577
Cu  0.250  0.395  0.790
Cu  0.750  0.605  0.210
Pt  0.250  0.026  0.051
Pt  0.750  0.974  0.949

Values from the calculation:
E_form, eV/atom: -0.354
Crystal system: orthorhombic
Spin magnetization, μB/f.u.: 0.0


No. 6
The following is a PBE calculation of a geometry-optimized LaTlFe2S structure, from the Alexandria database.

Lattice parameters (Å, degrees): 4.863 5.552 4.863 90.00 90.00 90.00
Each line ends with the local moment (μB).
Atoms (fractional coordinates):
S  0.000  0.500  0.000  0.16
Tl  0.000  0.000  0.000  -0.03
Fe  0.000  0.000  0.500  3.01
Fe  0.500  0.000  0.000  2.67
La  0.500  0.500  0.500  -0.26

Values from the calculation:
Formation energy from raw total energies, eV/atom: 0.689
Crystal system: tetragonal
Spin magnetization, μB/f.u.: 5.4


No. 7
The following is a PBE calculation of a geometry-optimized TiNi structure, from the Alexandria database.

Lattice parameters (Å, degrees): 7.273 7.273 5.350 90.00 90.00 120.00
Each line ends with the local moment (μB).
Atoms (fractional coordinates):
Ti  0.667  0.333  0.025  0.07
Ti  0.000  0.000  0.928  0.22
Ti  0.333  0.667  0.025  0.07
Ti  0.000  0.679  0.634  0.29
Ti  0.321  0.321  0.634  0.29
Ti  0.679  0.000  0.634  0.29
Ti  0.341  0.000  0.334  0.28
Ti  0.000  0.341  0.334  0.28
Ti  0.659  0.659  0.334  0.28
Ni  0.667  0.333  0.562  0.01
Ni  0.000  0.000  0.386  -0.03
Ni  0.333  0.667  0.562  0.01
Ni  0.000  0.688  0.114  0.02
Ni  0.312  0.312  0.114  0.02
Ni  0.688  0.000  0.114  0.02
Ni  0.359  0.000  0.842  0.07
Ni  0.000  0.359  0.842  0.07
Ni  0.641  0.641  0.842  0.07

Values from the calculation:
E_form, eV/atom: -0.373
Crystal system: trigonal
Spin magnetization, μB/f.u.: 0.3


No. 8
The following is a PBE calculation of a geometry-optimized Tb2Pr5Er6 structure, from the Alexandria database.

Lattice parameters (Å, degrees): 3.607 11.668 20.605 90.00 90.00 90.00
Atoms (fractional coordinates):
Tb  0.000  0.328  0.289
Tb  0.000  0.672  0.711
Tb  0.000  0.828  0.211
Tb  0.000  0.172  0.789
Pr  0.500  0.301  0.450
Pr  0.500  0.699  0.550
Pr  0.500  0.801  0.050
Pr  0.500  0.199  0.950
Pr  0.500  0.583  0.273
Pr  0.500  0.417  0.727
Pr  0.500  0.083  0.227
Pr  0.500  0.917  0.773
Pr  0.500  0.500  0.000
Pr  0.500  0.000  0.500
Er  0.000  0.080  0.368
Er  0.000  0.920  0.632
Er  0.000  0.580  0.132
Er  0.000  0.420  0.868
Er  0.500  0.324  0.138
Er  0.500  0.676  0.862
Er  0.500  0.824  0.362
Er  0.500  0.176  0.638
Er  0.000  0.563  0.419
Er  0.000  0.437  0.581
Er  0.000  0.063  0.081
Er  0.000  0.937  0.919

Values from the calculation:
E_form, eV/atom: 0.095
Crystal system: orthorhombic
Spin magnetization, μB/f.u.: 0.0


No. 9
The following is a PBE calculation of a geometry-optimized TaZn3Tc structure, from the Alexandria database.

Lattice parameters (Å, degrees): 4.610 4.610 4.610 90.00 90.00 90.00
Atoms (fractional coordinates):
Zn  0.000  0.500  0.000
Zn  0.000  0.000  0.500
Zn  0.500  0.000  0.000
Tc  0.000  0.000  0.000
Ta  0.500  0.500  0.500

Values from the calculation:
E above lowest polymorph, kJ per mole of atoms: 0.0
E_form, eV/atom: 1.313
Crystal system: cubic
Spin magnetization, μB/f.u.: 0.0


No. 10
The following is a PBE calculation of a geometry-optimized BaSi2Mo structure, from the Alexandria database.

Lattice parameters (Å, degrees): 5.441 5.441 8.706 71.79 71.79 90.00
Atoms (fractional coordinates):
Mo  0.500  0.500  0.000
Mo  0.250  0.750  0.500
Si  0.375  0.125  0.250
Si  0.375  0.625  0.250
Si  0.375  0.625  0.750
Si  0.875  0.625  0.750
Ba  0.000  0.000  0.000
Ba  0.750  0.250  0.500

Values from the calculation:
Formation energy from raw total energies, eV/atom: 0.024
E above lowest polymorph, kJ per mole of atoms: 15.6
Crystal system: tetragonal
Spin magnetization, μB/f.u.: 0.0


No. 11
The following is a PBE calculation of a geometry-optimized NaSr4Zn structure, from the Alexandria database.

Lattice parameters (Å, degrees): 4.077 4.077 15.461 90.00 90.00 90.00
Atoms (fractional coordinates):
Na  0.000  0.000  0.000
Sr  0.500  0.500  0.825
Sr  0.500  0.500  0.175
Sr  0.000  0.000  0.620
Sr  0.000  0.000  0.380
Zn  0.500  0.500  0.500

Values from the calculation:
E above lowest polymorph, kJ per mole of atoms: 0.0
E_form, eV/atom: -0.054
Crystal system: tetragonal
Spin magnetization, μB/f.u.: 0.0


No. 12
The following is a PBE calculation of a geometry-optimized PmY5Th4 structure, from the Alexandria database.

Lattice parameters (Å, degrees): 3.501 11.684 8.718 70.61 101.60 90.01
Atoms (fractional coordinates):
Pm  0.500  0.000  0.000
Y  0.209  0.386  0.419
Y  0.194  0.913  0.389
Y  0.806  0.087  0.611
Y  0.500  0.500  0.000
Y  0.791  0.614  0.581
Th  0.597  0.205  0.194
Th  0.909  0.297  0.821
Th  0.403  0.795  0.806
Th  0.091  0.703  0.179

Values from the calculation:
E_form, eV/atom: 0.107
Crystal system: triclinic
Spin magnetization, μB/f.u.: 0.0


For each record above, in turn, the calculated DFT total energy values are -11.94 -2.70 -5.89 -4.70 -4.19 -4.98 -7.21 -4.56 -3.90 -5.88 -1.61 -6.57 eV/atom.
For each record above, in turn, the calculated calculated volume values are 177.33 188.90 145.85 165.88 263.48 131.29 245.09 867.20 97.95 231.18 257.03 328.69 Å³/cell.